Density functional theory data (GGA-PBE) for an optimized crystal structure of Si2PtW.

Computed properties:
For the energy above the most stable polymorph in this dataset, the calculation gives 166.3 meV/atom. The space-group type is R-3m (166).

Cell: 8.311 8.311 8.311 Å, 19.93 19.93 19.93°
Fractional coordinates of all 4 atoms:
Si (0.001, 0.001, 0.001)
W (0.250, 0.250, 0.250)
Si (0.499, 0.499, 0.499)
Pt (0.750, 0.750, 0.750)